Entry 1:
Material: CuGeTe4
Method: DFT, PBE
State: optimized geometry

Summary:
The density of states at the Fermi level comes out at 3.4 states/eV per cell. The space group is C2/m (12). As for the uncorrected formation energy: 22 meV/atom. The calculation puts the electronic total energy at -0.2591 Ry per atom.

a b c (Å): 6.6689 6.6689 7.1330
angles (deg): 121.97 121.97 36.20
With the nearest neighbours (Å) after each atom.
Positions (direct):
Cu (0.0000, 0.0000, 0.0000)  6 Te 2.73-2.78
Ge (0.5000, 0.5000, 0.5000)  6 Te 2.88
Te (0.1442, 0.1442, 0.8249)  1 Cu 2.73, 2 Ge 2.88
Te (0.3587, 0.3587, 0.7058)  2 Cu 2.78, 1 Ge 2.88
Te (0.6413, 0.6413, 0.2942)  2 Cu 2.78, 1 Ge 2.88
Te (0.8558, 0.8558, 0.1751)  1 Cu 2.73, 2 Ge 2.88

Entry 2:
Material: Cu2GeTe
Method: DFT, PBE
State: optimized geometry

Summary:
The density of states at the Fermi level comes out at 1.7 states/eV per cell. The space group is Fm-3m (225). The energy above the most stable polymorph in this dataset is 0.071 eV per atom. As for the uncorrected formation energy: 343 meV/atom. The calculation puts the electronic total energy at -0.2679 Ry per atom.

a b c (Å): 4.6694 4.6694 4.6694
angles (deg): 60.00 60.00 60.00
With the nearest neighbours (Å) after each atom.
Positions (direct):
Cu (0.2500, 0.2500, 0.2500)  4 Te 2.86, 4 Ge 2.86
Cu (0.7500, 0.7500, 0.7500)  4 Ge 2.86, 4 Te 2.86
Ge (0.0000, 0.0000, 0.0000)  8 Cu 2.86
Te (0.5000, 0.5000, 0.5000)  8 Cu 2.86

Entry 3:
Material: Cu2Ge2Te5
Method: DFT, PBE
State: optimized geometry

Summary:
The density of states at the Fermi level comes out at 9.3 states/eV per cell. The space group is Ima2 (46). As for the uncorrected formation energy: 50 meV/atom. The calculation puts the electronic total energy at -0.2669 Ry per atom.

a b c (Å): 10.5187 10.5187 10.5187
angles (deg): 58.50 141.95 137.31
With the nearest neighbours (Å) after each atom.
Positions (direct):
Cu (0.0000, 0.0000, 0.0000)  6 Te 2.70-2.74
Cu (0.0000, 0.5000, 0.5000)  6 Te 2.70-2.74
Cu (0.0668, 0.8709, 0.6959)  4 Te 2.59-2.64
Cu (0.1749, 0.3709, 0.3041)  4 Te 2.59-2.64
Ge (0.5777, 0.7136, 0.1013)  5 Te 2.76-3.05
Ge (0.5777, 0.9764, 0.3641)  5 Te 2.76-3.05
Ge (0.6123, 0.2136, 0.6359)  5 Te 2.76-3.05
Ge (0.6123, 0.4764, 0.8987)  5 Te 2.76-3.05
Te (0.0731, 0.6050, 0.7493)  2 Cu 2.59-2.70, 1 Ge 2.78
Te (0.0731, 0.8239, 0.9681)  2 Cu 2.59-2.70, 1 Ge 2.78
Te (0.0994, 0.2515, 0.7611)  2 Cu 2.73-2.74, 2 Ge 3.02-3.05
Te (0.0994, 0.8383, 0.3479)  2 Cu 2.73-2.74, 2 Ge 3.02-3.05
Te (0.3544, 0.2120, 0.6425)  2 Cu 2.62-2.64, 2 Ge 2.76
Te (0.4904, 0.3383, 0.2389)  2 Cu 2.73-2.74, 2 Ge 3.02-3.05
Te (0.4904, 0.7515, 0.6521)  2 Cu 2.73-2.74, 2 Ge 3.02-3.05
Te (0.5695, 0.7120, 0.3575)  2 Cu 2.62-2.64, 2 Ge 2.76
Te (0.8558, 0.1050, 0.0319)  2 Cu 2.59-2.70, 1 Ge 2.78
Te (0.8558, 0.3239, 0.2507)  2 Cu 2.59-2.70, 1 Ge 2.78

Entry 4:
Material: TlCu2GeTe4
Method: DFT, PBE
State: optimized geometry

Summary:
The density of states at the Fermi level comes out at 2.5 states/eV per cell. The space group is I-42m (121). As for the uncorrected formation energy: -87 meV/atom. The calculation puts the electronic total energy at -0.2613 Ry per atom.

a b c (Å): 7.5246 7.5246 7.5246
angles (deg): 129.12 129.12 74.82
With the nearest neighbours (Å) after each atom.
Positions (direct):
Tl (0.0000, 0.0000, 0.0000)  4 Te 3.10
Cu (0.2500, 0.7500, 0.5000)  4 Te 2.61
Cu (0.7500, 0.2500, 0.5000)  4 Te 2.61
Ge (0.5000, 0.5000, 0.0000)  4 Te 2.67
Te (0.1327, 0.1327, 0.5584)  2 Cu 2.61, 1 Ge 2.67
Te (0.4257, 0.8673, 0.0000)  2 Cu 2.61, 1 Ge 2.67
Te (0.5743, 0.5743, 0.4416)  2 Cu 2.61, 1 Ge 2.67
Te (0.8673, 0.4257, 0.0000)  2 Cu 2.61, 1 Ge 2.67

Entry 5:
Material: Tl2CuGeTe4
Method: DFT, PBE
State: optimized geometry

Summary:
The density of states at the Fermi level comes out at 5.5 states/eV per cell. The space group is C2 (5). As for the uncorrected formation energy: -131 meV/atom. The calculation puts the electronic total energy at -0.2486 Ry per atom.

a b c (Å): 7.0080 7.0080 7.9743
angles (deg): 124.66 124.66 72.87
With the nearest neighbours (Å) after each atom.
Positions (direct):
Tl (0.0000, 0.0000, 0.0000)  4 Te 3.39
Tl (0.7498, 0.2502, 0.5000)  8 Te 3.63-3.69
Cu (0.4992, 0.5008, 0.0000)  4 Te 2.57
Ge (0.2493, 0.7507, 0.5000)  4 Te 2.65
Te (0.2415, 0.4316, 0.0967)  1 Cu 2.57, 1 Ge 2.65
Te (0.3341, 0.1463, 0.5766)  1 Cu 2.57, 1 Ge 2.65
Te (0.5684, 0.7585, 0.9033)  1 Cu 2.57, 1 Ge 2.65
Te (0.8537, 0.6659, 0.4234)  1 Cu 2.57, 1 Ge 2.65

Entry 6:
Material: Tm8CuGe3Te4
Method: DFT, PBE
State: optimized geometry

Summary:
The density of states at the Fermi level comes out at 7.3 states/eV per cell. The space group is R-3m (166). As for the uncorrected formation energy: -1000 meV/atom. The calculation puts the electronic total energy at -0.3780 Ry per atom.

a b c (Å): 8.5000 8.5000 8.5000
angles (deg): 58.71 58.71 58.71
With the nearest neighbours (Å) after each atom.
Positions (direct):
Tm (0.2365, 0.7419, 0.7419)  2 Ge 2.85, 1 Cu 2.88, 3 Te 3.08-3.11
Tm (0.2391, 0.2391, 0.2391)  3 Ge 2.85, 3 Te 3.12
Tm (0.2581, 0.2581, 0.7635)  2 Ge 2.85, 1 Cu 2.88, 3 Te 3.08-3.11
Tm (0.2581, 0.7635, 0.2581)  2 Ge 2.85, 1 Cu 2.88, 3 Te 3.08-3.11
Tm (0.7419, 0.2365, 0.7419)  2 Ge 2.85, 1 Cu 2.88, 3 Te 3.08-3.11
Tm (0.7419, 0.7419, 0.2365)  2 Ge 2.85, 1 Cu 2.88, 3 Te 3.08-3.11
Tm (0.7609, 0.7609, 0.7609)  3 Ge 2.85, 3 Te 3.12
Tm (0.7635, 0.2581, 0.2581)  2 Ge 2.85, 1 Cu 2.88, 3 Te 3.08-3.11
Cu (0.5000, 0.5000, 0.5000)  6 Tm 2.88
Ge (0.0000, 0.0000, 0.5000)  6 Tm 2.85
Ge (0.0000, 0.5000, 0.0000)  6 Tm 2.85
Ge (0.5000, 0.0000, 0.0000)  6 Tm 2.85
Te (0.0000, 0.0000, 0.0000)  6 Tm 3.08
Te (0.0000, 0.5000, 0.5000)  6 Tm 3.11-3.12
Te (0.5000, 0.0000, 0.5000)  6 Tm 3.11-3.12
Te (0.5000, 0.5000, 0.0000)  6 Tm 3.11-3.12

Entry 7:
Material: VCu2GeTe
Method: DFT, PBE
State: optimized geometry

Summary:
The density of states at the Fermi level comes out at 8.8 states/eV per cell. The space group is P4/mmm (123). As for the uncorrected formation energy: 601 meV/atom. The calculation puts the electronic total energy at -0.3243 Ry per atom.

a b c (Å): 4.5092 4.5092 4.7924
angles (deg): 90.00 90.00 90.00
With the nearest neighbours (Å) after each atom.
Positions (direct):
V (0.0000, 0.0000, 0.0000)  2 Ge 2.40
Cu (0.0000, 0.5000, 0.5000)  2 Ge 2.25
Cu (0.5000, 0.0000, 0.5000)  2 Ge 2.25
Ge (0.0000, 0.0000, 0.5000)  4 Cu 2.25, 2 V 2.40
Te (0.5000, 0.5000, 0.0000)  4 V 3.19, 8 Cu 3.29

Entry 8:
Material: Th3Cu4Ge2
Method: DFT, PBE
State: optimized geometry

Summary:
The density of states at the Fermi level comes out at 9.0 states/eV per cell. The space group is C2/m (12). The calculation puts the electronic total energy at -0.4236 Ry per atom.

a b c (Å): 5.8143 5.8143 8.3831
angles (deg): 106.05 106.05 43.36
With the nearest neighbours (Å) after each atom.
Positions (direct):
Th (0.0000, 0.0000, 0.0000)  8 Cu 3.13-3.19, 4 Ge 3.15
Th (0.3360, 0.3360, 0.3296)  8 Cu 3.09-3.22, 4 Ge 3.15-3.16
Th (0.6640, 0.6640, 0.6704)  8 Cu 3.09-3.22, 4 Ge 3.15-3.16
Cu (0.0555, 0.0555, 0.3907)  1 Cu 2.47, 2 Ge 2.49
Cu (0.2724, 0.2724, 0.9406)  2 Cu 2.48, 1 Ge 2.51
Cu (0.7276, 0.7276, 0.0594)  2 Cu 2.48, 1 Ge 2.51
Cu (0.9445, 0.9445, 0.6093)  1 Cu 2.47, 2 Ge 2.49
Ge (0.3864, 0.3864, 0.7202)  3 Cu 2.49-2.51
Ge (0.6136, 0.6136, 0.2798)  3 Cu 2.49-2.51

Entry 9:
Material: ThCuGe2
Method: DFT, PBE
State: optimized geometry

Summary:
The density of states at the Fermi level comes out at 2.9 states/eV per cell. The space group is R-3m (166). The calculation puts the electronic total energy at -0.4072 Ry per atom.

a b c (Å): 5.6415 5.6415 5.6415
angles (deg): 44.65 44.65 44.65
With the nearest neighbours (Å) after each atom.
Positions (direct):
Th (0.0000, 0.0000, 0.0000)  8 Ge 3.05-3.29
Cu (0.5000, 0.5000, 0.5000)  6 Ge 2.59
Ge (0.2161, 0.2161, 0.2161)  3 Cu 2.59, 3 Ge 2.90
Ge (0.7839, 0.7839, 0.7839)  3 Cu 2.59, 3 Ge 2.90

Entry 10:
Material: Th2CuGe
Method: DFT, PBE
State: optimized geometry

Summary:
The density of states at the Fermi level comes out at 3.4 states/eV per cell. The space group is P4/mmm (123). The energy above the most stable polymorph in this dataset is 0.123 eV per atom. The calculation puts the electronic total energy at -0.4579 Ry per atom.

a b c (Å): 4.9500 4.9500 3.8987
angles (deg): 90.00 90.00 90.00
With the nearest neighbours (Å) after each atom.
Positions (direct):
Th (0.0000, 0.5000, 0.0000)  4 Ge 3.15, 4 Cu 3.15, 4 Th 3.50
Th (0.5000, 0.0000, 0.0000)  4 Ge 3.15, 4 Cu 3.15, 4 Th 3.50
Cu (0.0000, 0.0000, 0.5000)  8 Th 3.15, 4 Ge 3.50
Ge (0.5000, 0.5000, 0.5000)  8 Th 3.15, 4 Cu 3.50

Entry 11:
Material: ThCuGe2
Method: DFT, PBE
State: optimized geometry

Summary:
The density of states at the Fermi level comes out at 2.5 states/eV per cell. The space group is Cmmm (65). The calculation puts the electronic total energy at -0.4008 Ry per atom.

a b c (Å): 4.8178 4.8178 4.0678
angles (deg): 90.00 90.00 110.49
With the nearest neighbours (Å) after each atom.
Positions (direct):
Th (0.0000, 0.0000, 0.0000)  8 Ge 3.15, 4 Cu 3.42
Cu (0.5000, 0.5000, 0.5000)  4 Ge 2.41
Ge (0.0000, 0.5000, 0.5000)  2 Cu 2.41
Ge (0.5000, 0.0000, 0.5000)  2 Cu 2.41

Entry 12:
Material: Th2Cu5Ge3
Method: DFT, PBE
State: optimized geometry

Summary:
The density of states at the Fermi level comes out at 6.7 states/eV per cell. The space group is P-4m2 (115). The calculation puts the electronic total energy at -0.3774 Ry per atom.

a b c (Å): 4.2954 4.2954 9.8120
angles (deg): 90.00 90.00 90.00
With the nearest neighbours (Å) after each atom.
Positions (direct):
Th (0.0000, 0.5000, 0.2267)  11 Cu 3.09-3.44, 6 Ge 3.28-3.44
Th (0.5000, 0.0000, 0.7733)  11 Cu 3.09-3.44, 6 Ge 3.28-3.44
Cu (0.0000, 0.0000, 0.0000)  4 Cu 2.43
Cu (0.0000, 0.0000, 0.5000)  4 Ge 2.59
Cu (0.0000, 0.5000, 0.8851)  1 Ge 2.33, 4 Cu 2.43
Cu (0.5000, 0.0000, 0.1149)  1 Ge 2.33, 4 Cu 2.43
Cu (0.5000, 0.5000, 0.0000)  4 Cu 2.43
Ge (0.0000, 0.5000, 0.6472)  3 Cu 2.33-2.59, 2 Ge 2.59
Ge (0.5000, 0.0000, 0.3528)  3 Cu 2.33-2.59, 2 Ge 2.59
Ge (0.5000, 0.5000, 0.5000)  4 Ge 2.59

Which of these has the highest density of states at the Fermi level?
Cu2Ge2Te5

The highest electronic total energy belongs to which entry?
Tl2CuGeTe4